Record 1
ReSi2Te | PBE | optimized geometry

Output
The crystal system is tetragonal. For the density, the calculation gives 6.22 g/cm3. Its density of states at the Fermi level is 12.65 states/eV/cell. As for the space group: No. 122. As for the uncorrected formation energy: 0.60 eV/atom. The total magnetization is 0.00 μB/f.u.

abc: 5.880 5.880 11.436
angles: 90.00 90.00 90.00
Positions (direct):
Re (0.000, 0.000, 0.000)
Re (0.000, 0.500, 0.250)
Re (0.500, 0.000, 0.750)
Re (0.500, 0.500, 0.500)
Si (0.192, 0.250, 0.125)
Si (0.250, 0.692, 0.375)
Si (0.250, 0.808, 0.875)
Si (0.308, 0.250, 0.625)
Si (0.692, 0.750, 0.625)
Si (0.750, 0.192, 0.875)
Si (0.750, 0.308, 0.375)
Si (0.808, 0.750, 0.125)
Te (0.000, 0.000, 0.500)
Te (0.000, 0.500, 0.750)
Te (0.500, 0.000, 0.250)
Te (0.500, 0.500, 0.000)

***

Record 2
ReSi2Te2 | PBE | optimized geometry

Output
The crystal system is tetragonal. For the density, the calculation gives 7.93 g/cm3. Its density of states at the Fermi level is 8.57 states/eV/cell. As for the space group: No. 139. As for the uncorrected formation energy: 0.94 eV/atom. The total magnetization is 1.01 μB/f.u.

abc: 5.377 5.377 7.209
angles: 90.00 90.00 90.00
Positions (direct):
Re (0.000, 0.000, 0.000)
Re (0.500, 0.500, 0.500)
Si (0.000, 0.000, 0.341)
Si (0.000, 0.000, 0.659)
Si (0.500, 0.500, 0.159)
Si (0.500, 0.500, 0.841)
Te (0.000, 0.500, 0.250)
Te (0.000, 0.500, 0.750)
Te (0.500, 0.000, 0.250)
Te (0.500, 0.000, 0.750)

***

Record 3
Re4SiTe | PBE | optimized geometry

Output
The crystal system is cubic. For the density, the calculation gives 14.47 g/cm3. Its density of states at the Fermi level is 5.98 states/eV/cell. As for the space group: No. 216. As for the uncorrected formation energy: 0.93 eV/atom. The total magnetization is 0.00 μB/f.u.

abc: 5.268 5.268 5.268
angles: 60.00 60.00 60.00
Positions (direct):
Re (0.125, 0.125, 0.125)
Re (0.125, 0.125, 0.625)
Re (0.125, 0.625, 0.125)
Re (0.625, 0.125, 0.125)
Si (0.750, 0.750, 0.750)
Te (0.500, 0.500, 0.500)

***

Record 4
ReSiTe2 | PBE | optimized geometry

Output
The crystal system is trigonal. For the density, the calculation gives 9.11 g/cm3. Its density of states at the Fermi level is 6.84 states/eV/cell. As for the space group: No. 166. As for the uncorrected formation energy: 0.63 eV/atom. The total magnetization is 0.00 μB/f.u.

abc: 3.375 3.375 26.028
angles: 90.00 90.00 120.00
Positions (direct):
Re (0.000, 0.000, 0.000)
Re (0.333, 0.667, 0.667)
Re (0.667, 0.333, 0.333)
Si (0.000, 0.000, 0.500)
Si (0.333, 0.667, 0.167)
Si (0.667, 0.333, 0.833)
Te (0.000, 0.000, 0.259)
Te (0.000, 0.000, 0.741)
Te (0.333, 0.667, 0.408)
Te (0.333, 0.667, 0.926)
Te (0.667, 0.333, 0.074)
Te (0.667, 0.333, 0.592)

***

Record 5
ReSiTe | PBE | optimized geometry

Output
The crystal system is orthorhombic. For the density, the calculation gives 10.08 g/cm3. Its density of states at the Fermi level is 10.83 states/eV/cell. As for the space group: No. 42. As for the uncorrected formation energy: 0.67 eV/atom. The total magnetization is 0.00 μB/f.u.

abc: 3.261 5.154 13.406
angles: 90.00 90.00 90.00
Positions (direct):
Re (0.000, 0.000, 0.000)
Re (0.000, 0.500, 0.500)
Re (0.500, 0.000, 0.500)
Re (0.500, 0.500, 0.000)
Si (0.000, 0.000, 0.631)
Si (0.000, 0.500, 0.131)
Si (0.500, 0.000, 0.131)
Si (0.500, 0.500, 0.631)
Te (0.000, 0.000, 0.329)
Te (0.000, 0.500, 0.829)
Te (0.500, 0.000, 0.829)
Te (0.500, 0.500, 0.329)

***

Record 6
ReSi2Te | PBE | optimized geometry

Output
The crystal system is tetragonal. For the density, the calculation gives 8.98 g/cm3. Its density of states at the Fermi level is 1.97 states/eV/cell. As for the space group: No. 123. As for the uncorrected formation energy: 0.25 eV/atom. The total magnetization is 0.00 μB/f.u.

abc: 3.111 3.111 7.069
angles: 90.00 90.00 90.00
Positions (direct):
Re (0.000, 0.000, 0.000)
Si (0.500, 0.500, 0.191)
Si (0.500, 0.500, 0.809)
Te (0.000, 0.000, 0.500)

***

Record 7
ReSiTe | PBE | optimized geometry

Output
The crystal system is trigonal. For the density, the calculation gives 10.18 g/cm3. Its density of states at the Fermi level is 1.91 states/eV/cell. As for the space group: No. 156. As for the uncorrected formation energy: 0.36 eV/atom. The total magnetization is 0.00 μB/f.u.

abc: 3.330 3.330 5.808
angles: 90.00 90.00 120.00
Positions (direct):
Re (0.000, 0.000, 0.000)
Si (0.667, 0.333, 0.269)
Te (0.333, 0.667, 0.661)

***

Record 8
ReSiTe2 | PBE | optimized geometry

Output
The crystal system is tetragonal. For the density, the calculation gives 8.91 g/cm3. Its density of states at the Fermi level is 7.62 states/eV/cell. As for the space group: No. 139. As for the uncorrected formation energy: 0.88 eV/atom. The total magnetization is 1.01 μB/f.u.

abc: 5.536 5.536 5.710
angles: 90.00 90.00 90.00
Positions (direct):
Re (0.000, 0.000, 0.000)
Re (0.500, 0.500, 0.500)
Si (0.000, 0.000, 0.500)
Si (0.500, 0.500, 0.000)
Te (0.000, 0.500, 0.000)
Te (0.000, 0.500, 0.500)
Te (0.500, 0.000, 0.000)
Te (0.500, 0.000, 0.500)

***

Record 9
ReSi2Te | PBE | optimized geometry

Output
The crystal system is monoclinic. For the density, the calculation gives 8.37 g/cm3. Its density of states at the Fermi level is 2.59 states/eV/cell. As for the space group: No. 6. As for the uncorrected formation energy: 0.42 eV/atom. The total magnetization is 0.00 μB/f.u.

abc: 3.883 3.986 5.058
angles: 90.00 110.34 90.00
Positions (direct):
Re (0.000, 0.000, 0.000)
Si (0.039, 0.500, 0.281)
Si (0.660, 0.000, 0.360)
Te (0.375, 0.500, 0.807)

***

Record 10
ReSiTe2 | PBE | optimized geometry

Output
The crystal system is monoclinic. For the density, the calculation gives 8.32 g/cm3. Its density of states at the Fermi level is 2.19 states/eV/cell. As for the space group: No. 6. As for the uncorrected formation energy: 0.22 eV/atom. The total magnetization is 0.00 μB/f.u.

abc: 3.231 3.882 7.473
angles: 90.00 90.13 90.00
Positions (direct):
Re (0.000, 0.000, 0.000)
Si (0.500, 0.500, 0.043)
Te (0.502, 0.000, 0.306)
Te (0.999, 0.500, 0.722)

***

Record 11
ReSi2Te | PBE | optimized geometry

Output
The crystal system is trigonal. For the density, the calculation gives 8.51 g/cm3. Its density of states at the Fermi level is 3.26 states/eV/cell. As for the space group: No. 166. As for the uncorrected formation energy: 0.29 eV/atom. The total magnetization is 0.00 μB/f.u.

abc: 3.082 3.082 26.317
angles: 90.00 90.00 120.00
Positions (direct):
Re (0.000, 0.000, 0.000)
Re (0.333, 0.667, 0.667)
Re (0.667, 0.333, 0.333)
Si (0.000, 0.000, 0.267)
Si (0.000, 0.000, 0.733)
Si (0.333, 0.667, 0.400)
Si (0.333, 0.667, 0.933)
Si (0.667, 0.333, 0.067)
Si (0.667, 0.333, 0.600)
Te (0.000, 0.000, 0.500)
Te (0.333, 0.667, 0.167)
Te (0.667, 0.333, 0.833)

***

Record 12
ReSiTe | PBE | optimized geometry

Output
The crystal system is cubic. For the density, the calculation gives 9.59 g/cm3. Its density of states at the Fermi level is 7.83 states/eV/cell. As for the space group: No. 216. As for the uncorrected formation energy: 0.48 eV/atom. The total magnetization is 0.00 μB/f.u.

abc: 6.188 6.188 6.188
angles: 90.00 90.00 90.00
Positions (direct):
Re (0.000, 0.000, 0.000)
Re (0.000, 0.500, 0.500)
Re (0.500, 0.000, 0.500)
Re (0.500, 0.500, 0.000)
Si (0.250, 0.250, 0.250)
Si (0.250, 0.750, 0.750)
Si (0.750, 0.250, 0.750)
Si (0.750, 0.750, 0.250)
Te (0.250, 0.250, 0.750)
Te (0.250, 0.750, 0.250)
Te (0.750, 0.250, 0.250)
Te (0.750, 0.750, 0.750)

***

Question: What is the total magnetization in the second record?
Answer: 1.01 μB/f.u.

***

Question: uncorrected formation energy of number 10 (ReSiTe2)?
Answer: 0.22 eV/atom